20
Lattice="7.654 0.000 -0.022 0.000 8.271 0.000 0.045 0.000 9.277" Properties=species:S:1:pos:R:3 comment="K2TbCuCl6 (PBE, relaxed)" formation_energy_uncorrected_kcal_per_mol_atoms=-41.07 m_tot_mub_per_fu=0.1 de_polymorph_kj_per_mol_atoms=0.0 mass_density_g_cm3=2.9 pbc="T T T"
K 0.147 7.593 2.341
K 3.996 4.813 6.968
K 7.551 0.677 6.913
K 3.702 3.458 2.286
Tb 3.827 0.000 -0.011
Tb 0.022 4.135 4.638
Cu 3.849 0.000 4.627
Cu 0.000 4.135 0.000
Cl 2.583 5.984 0.444
Cl 6.432 6.422 5.071
Cl 5.115 2.286 8.810
Cl 1.266 1.849 4.183
Cl 2.240 5.478 4.182
Cl 6.089 6.928 8.809
Cl 5.458 2.793 5.072
Cl 1.609 1.342 0.445
Cl 6.934 4.396 2.007
Cl 3.129 8.010 6.656
Cl 0.764 3.875 7.248
Cl 4.569 0.261 2.598